No. 1
BaYSc | PBE | optimized geometry

Computed properties:
Space-group type: P4/mmm
Distance to the lowest polymorph of the same formula (meV per atom): 111
Energy (eV/atom): -4.625
Calculated volume (Å³ per cell): 222.8
Calculated formation energy (meV/atom): 282

abc: 4.0202 4.0202 13.7882
angles: 90.00 90.00 90.00
Sites, in units of the cell vectors:
Ba 0.0000 0.0000 0.1991
Ba 0.0000 0.0000 0.8009
Y 0.0000 0.0000 0.5000
Y 0.5000 0.5000 0.0000
Sc 0.5000 0.5000 0.3784
Sc 0.5000 0.5000 0.6216

=====

No. 2
HgRhO2F | PBE | optimized geometry

Computed properties:
Space-group type: P4/mmm
Energy (eV/atom): -4.340
Calculated volume (Å³ per cell): 66.3

abc: 3.9624 3.9624 4.2253
angles: 90.00 90.00 90.00
Sites, in units of the cell vectors:
Hg 0.0000 0.0000 0.0000
Rh 0.5000 0.5000 0.5000
O 0.0000 0.5000 0.5000
O 0.5000 0.0000 0.5000
F 0.5000 0.5000 0.0000

=====

No. 3
Cu2H2Ru | PBE | optimized geometry

Computed properties:
Space-group type: I4/mmm
Distance to the lowest polymorph of the same formula (meV per atom): 479
Energy (eV/atom): -4.151
Calculated volume (Å³ per cell): 45.9

abc: 4.8644 4.8644 4.8644
angles: 140.62 140.62 56.91
Sites, in units of the cell vectors:
Cu 0.2500 0.7500 0.5000
Cu 0.7500 0.2500 0.5000
H 0.1226 0.1226 0.0000
H 0.8774 0.8774 0.0000
Ru 0.5000 0.5000 0.0000

=====

No. 4
PrNd2B9 | PBE | optimized geometry

Computed properties:
Space-group type: R-3m
Energy (eV/atom): -6.034
Calculated volume (Å³ per cell): 191.8
Calculated formation energy (meV/atom): 167

abc: 9.8391 9.8391 9.8391
angles: 28.51 28.51 28.51
Sites, in units of the cell vectors:
Pr 0.0000 0.0000 0.0000
Nd 0.2093 0.2093 0.2093
Nd 0.7907 0.7907 0.7907
B 0.0688 0.4190 0.4190
B 0.3592 0.3592 0.3592
B 0.4190 0.0688 0.4190
B 0.4190 0.4190 0.0688
B 0.5000 0.5000 0.5000
B 0.5810 0.5810 0.9312
B 0.5810 0.9312 0.5810
B 0.6408 0.6408 0.6408
B 0.9312 0.5810 0.5810